# NbSnIrBr2 | Alexandria | PBEsol | relaxed
data_NbSnIrBr2
_symmetry_space_group_name_H-M 'P 4/m m m'
_symmetry_Int_Tables_number 123
_symmetry_space_group_name_Hall '-P 4 2'
_cell_length_a 5.301
_cell_length_b 5.301
_cell_length_c 5.029
_cell_angle_alpha 90.00
_cell_angle_beta 90.00
_cell_angle_gamma 90.00
loop_
_atom_site_label
_atom_site_type_symbol
_atom_site_fract_x
_atom_site_fract_y
_atom_site_fract_z
_atom_site_occupancy
Nb1 Nb 0.000 0.000 0.000 1
Sn1 Sn 0.500 0.500 0.500 1
Ir1 Ir 0.500 0.500 0.000 1
Br1 Br 0.000 0.500 0.500 1
# * theoretical density: 6.62 g cm⁻³
# * formation energy (no corrections): 137.5 kJ/mol of atoms